(1)
DFT (PBE) results for a relaxed CsSrCdO2 crystal.

Unit cell a=8.0427 b=6.5712 c=7.2374 alpha=90.00 beta=110.50 gamma=90.00
Space group P2/c (No. 13)
Asymmetric unit:
Cs  0.0000  0.2172  0.2500 (multiplicity 2)
Sr  0.5000  0.4950  0.7500 (multiplicity 2)
Cd  0.5000  0.0000  0.0000 (multiplicity 2)
O  0.3800  0.2886  0.4499 (multiplicity 4)

Properties
Calculated total energy in eV per atom: -4.058
ΔE_f (raw) in eV per atom: -1.3843
Density of states at the Fermi level in states/eV/atom: 0.315


(2)
DFT (PBE) results for a relaxed CsCdTcO4 crystal.

Unit cell a=5.8974 b=6.3700 c=8.4795 alpha=90.00 beta=101.35 gamma=90.00
Space group P2_1/m (No. 11)
Asymmetric unit:
Cs  0.1595  0.2500  0.1446 (multiplicity 2)
Cd  0.1536  0.7500  0.5022 (multiplicity 2)
Tc  0.4424  0.2500  0.7469 (multiplicity 2)
O  0.2523  0.7500  0.1915 (multiplicity 2)
O  0.3252  0.0200  0.8116 (multiplicity 4)
O  0.4101  0.2500  0.5353 (multiplicity 2)

Properties
Calculated total energy in eV per atom: -5.908
ΔE_f (raw) in eV per atom: -1.3417